No. 1
NaHfGa: optimized geometry, GGA-PBE.

abc: 19.416 10.098 10.098
angles: 154.99 163.95 16.05
Fractional positions:
Hf  0.469  0.512  0.488
Hf  0.090  0.017  0.983
Na  0.724  0.015  0.985
Na  0.329  0.018  0.982
Ga  0.575  0.016  0.984
Ga  0.970  0.514  0.486

Properties
The value obtained for the formation energy is -0.053 eV/atom. The calculation puts the excess energy over the best structure of this formula in the dataset at 0.0750 eV/atom.

=====

No. 2
NaHfGa: optimized geometry, GGA-PBE.

abc: 15.355 3.222 3.225
angles: 119.93 90.54 89.86
Fractional positions:
Ga  0.771  0.496  0.486
Ga  0.229  0.504  0.514
Na  0.605  0.161  0.814
Na  0.395  0.839  0.186
Hf  0.078  0.835  0.171
Hf  0.922  0.165  0.829

Properties
The value obtained for the formation energy is -0.046 eV/atom. The calculation puts the excess energy over the best structure of this formula in the dataset at 0.0825 eV/atom.

=====

No. 3
NaHfGa3: optimized geometry, GGA-PBE.

abc: 4.781 4.781 4.781
angles: 90.00 90.00 90.00
Fractional positions:
Ga  0.000  0.000  0.500
Ga  0.000  0.500  0.000
Ga  0.500  0.000  0.000
Hf  0.500  0.500  0.500
Na  0.000  0.000  0.000

Properties
The value obtained for the formation energy is 0.834 eV/atom. The calculation puts the excess energy over the best structure of this formula in the dataset at 0.5033 eV/atom.

=====

No. 4
NaHfGa: optimized geometry, GGA-PBE.

abc: 9.295 9.295 3.298
angles: 90.00 90.00 151.18
Fractional positions:
Hf  0.932  0.068  0.041
Hf  0.068  0.932  0.541
Ga  0.440  0.560  0.542
Ga  0.560  0.440  0.042
Na  0.293  0.707  0.044
Na  0.707  0.293  0.544

Properties
The value obtained for the formation energy is -0.048 eV/atom. The calculation puts the excess energy over the best structure of this formula in the dataset at 0.0802 eV/atom.

=====

no.,uncorrected energy (eV/f.u.)
1,-14.459
2,-14.436
3,-16.183
4,-14.443